# CoSb2Cl (SCAN, PBEsol geometry)
# * DOS(E_F): 0.798 states/eV/atom
# * energy above the lowest structure with this stoichiometry: 380 meV per atom
# * magnetic moment: 8.997 Bohr magnetons per cell
# * energy relative to the elements, uncorrected: 0.449 eV per atom
# * density: 6.9 g/cm³
data_CoSb2Cl
_chemical_formula_sum 'Co4 Sb8 Cl4'
_space_group_name_H-M_alt 'F -4 3 m'
_space_group_IT_number 216
_space_group_name_Hall 'F -4 2 3'
_cell_length_a 6.874
_cell_length_b 6.874
_cell_length_c 6.874
_cell_angle_alpha 90.00
_cell_angle_beta 90.00
_cell_angle_gamma 90.00
loop_
_atom_site_label
_atom_site_fract_x
_atom_site_fract_y
_atom_site_fract_z
Co1 0.000 0.000 0.000
Sb1 0.000 0.000 0.500
Sb2 0.250 0.250 0.250
Cl1 0.250 0.250 0.750